1.
This record from Alexandria describes a geometry-optimized Ca2NbO4 structure. The functional is PBE-GGA.

Summary:
Crystal system = tetragonal
Uncorrected formation energy = -18.9 eV per formula unit
SG = I4/mmm (139)
Offset from the most stable computed form = 66 meV/atom
Total moment = 0.0 Bohr magnetons per cell

a b c (Å): 4.034 4.034 6.659
angles (deg): 72.37 72.37 90.00
Sites, in units of the cell vectors:
O 0.000 0.500 0.000
O 0.172 0.172 0.657
O 0.500 0.000 0.000
O 0.828 0.828 0.343
Ca 0.646 0.646 0.708
Ca 0.354 0.354 0.292
Nb 0.000 0.000 0.000


2.
This record from Alexandria describes a geometry-optimized Ca2NbO4 structure. The functional is PBE-GGA.

Summary:
Crystal system = orthorhombic
Uncorrected formation energy = -19.4 eV per formula unit
SG = Pbam (55)
Offset from the most stable computed form = 0 meV/atom
Total moment = 0.3 Bohr magnetons per cell

a b c (Å): 3.180 5.834 9.867
angles (deg): 90.00 90.00 90.00
Each line ends with the local moment (μB).
Sites, in units of the cell vectors:
O 0.500 0.241 0.454  -0.01
O 0.000 0.876 0.309  0.01
O 0.500 0.741 0.046  -0.01
O 0.000 0.124 0.691  0.01
O 0.000 0.624 0.809  0.01
O 0.500 0.759 0.546  -0.01
O 0.500 0.259 0.954  -0.01
O 0.000 0.376 0.191  0.01
Ca 0.500 0.075 0.177  0.00
Ca 0.500 0.575 0.323  0.00
Ca 0.500 0.425 0.677  0.00
Ca 0.500 0.925 0.823  0.00
Nb 0.000 0.500 0.000  0.13
Nb 0.000 0.000 0.500  0.13


3.
This record from Alexandria describes a geometry-optimized Ca2NbO4 structure. The functional is PBE-GGA.

Summary:
Crystal system = monoclinic
Uncorrected formation energy = -18.0 eV per formula unit
SG = P2_1/m (11)
Offset from the most stable computed form = 203 meV/atom
Total moment = 1.9 Bohr magnetons per cell

a b c (Å): 6.121 6.020 6.414
angles (deg): 90.00 106.98 90.00
Each line ends with the local moment (μB).
Sites, in units of the cell vectors:
O 0.560 0.474 0.760  0.02
O 0.993 0.750 0.892  -0.02
O 0.560 0.026 0.760  0.02
O 0.440 0.974 0.240  0.02
O 0.440 0.526 0.240  0.02
O 0.007 0.250 0.108  -0.02
O 0.038 0.250 0.659  0.01
O 0.962 0.750 0.341  0.01
Ca 0.358 0.250 0.973  0.01
Ca 0.642 0.750 0.027  0.01
Ca 0.281 0.250 0.450  0.03
Ca 0.719 0.750 0.550  0.03
Nb 0.821 0.250 0.819  0.66
Nb 0.179 0.750 0.181  0.66


4.
This record from Alexandria describes a geometry-optimized CaNb4O8 structure. The functional is PBE-GGA.

Summary:
Crystal system = orthorhombic
Uncorrected formation energy = -33.1 eV per formula unit
SG = Pmmn (59)
Offset from the most stable computed form = 0 meV/atom
Total moment = 0.0 Bohr magnetons per cell

a b c (Å): 7.215 10.435 13.270
angles (deg): 90.00 90.00 90.00
Sites, in units of the cell vectors:
O 0.500 0.831 0.622
O 0.500 0.845 0.122
O 0.813 0.860 0.764
O 0.000 0.345 0.878
O 0.804 0.866 0.986
O 0.801 0.870 0.263
O 0.699 0.370 0.737
O 0.699 0.632 0.510
O 0.500 0.174 0.877
O 0.000 0.334 0.624
O 0.500 0.834 0.376
O 0.196 0.866 0.986
O 0.196 0.134 0.986
O 0.301 0.632 0.510
O 0.804 0.134 0.986
O 0.500 0.169 0.622
O 0.000 0.655 0.878
O 0.313 0.360 0.236
O 0.187 0.140 0.764
O 0.187 0.860 0.764
O 0.000 0.674 0.123
O 0.199 0.868 0.490
O 0.304 0.634 0.014
O 0.500 0.166 0.376
O 0.199 0.132 0.490
O 0.687 0.640 0.236
O 0.500 0.826 0.877
O 0.699 0.368 0.510
O 0.301 0.368 0.510
O 0.304 0.366 0.014
O 0.699 0.630 0.737
O 0.313 0.640 0.236
O 0.687 0.360 0.236
O 0.000 0.666 0.624
O 0.801 0.132 0.490
O 0.301 0.370 0.737
O 0.813 0.140 0.764
O 0.801 0.130 0.263
O 0.199 0.130 0.263
O 0.199 0.870 0.263
O 0.000 0.331 0.378
O 0.301 0.630 0.737
O 0.000 0.326 0.123
O 0.696 0.634 0.014
O 0.000 0.669 0.378
O 0.696 0.366 0.014
O 0.801 0.868 0.490
O 0.500 0.155 0.122
Ca 0.500 0.000 0.980
Ca 0.000 0.500 0.495
Ca 0.000 0.500 0.747
Ca 0.500 0.000 0.253
Ca 0.000 0.500 0.020
Ca 0.500 0.000 0.505
Nb 0.730 0.281 0.373
Nb 0.273 0.718 0.874
Nb 0.000 0.000 0.728
Nb 0.227 0.218 0.126
Nb 0.770 0.219 0.627
Nb 0.000 0.000 0.530
Nb 0.227 0.782 0.126
Nb 0.000 0.000 0.222
Nb 0.500 0.500 0.778
Nb 0.500 0.500 0.470
Nb 0.773 0.218 0.126
Nb 0.500 0.500 0.272
Nb 0.000 0.000 0.025
Nb 0.500 0.500 0.975
Nb 0.273 0.282 0.874
Nb 0.270 0.719 0.373
Nb 0.773 0.782 0.126
Nb 0.230 0.219 0.627
Nb 0.727 0.282 0.874
Nb 0.770 0.781 0.627
Nb 0.230 0.781 0.627
Nb 0.730 0.719 0.373
Nb 0.270 0.281 0.373
Nb 0.727 0.718 0.874


5.
This record from Alexandria describes a geometry-optimized CaNb2O4 structure. The functional is PBE-GGA.

Summary:
Crystal system = monoclinic
Uncorrected formation energy = -16.7 eV per formula unit
SG = C2/m (12)
Offset from the most stable computed form = 253 meV/atom
Total moment = 0.0 Bohr magnetons per cell

a b c (Å): 3.008 5.213 6.405
angles (deg): 110.07 103.58 90.00
Sites, in units of the cell vectors:
O 0.848 0.493 0.697
O 0.624 0.961 0.247
O 0.376 0.039 0.753
O 0.152 0.507 0.303
Nb 0.238 0.204 0.477
Nb 0.762 0.796 0.523
Ca 0.500 0.500 0.000


6.
This record from Alexandria describes a geometry-optimized CaNb3O structure. The functional is PBE-GGA.

Summary:
Crystal system = cubic
Uncorrected formation energy = -1.6 eV per formula unit
SG = Pm-3m (221)
Offset from the most stable computed form = 0 meV/atom
Total moment = 0.0 Bohr magnetons per cell

a b c (Å): 4.422 4.422 4.422
angles (deg): 90.00 90.00 90.00
Sites, in units of the cell vectors:
Nb 0.000 0.500 0.000
Nb 0.500 0.000 0.000
Nb 0.000 0.000 0.500
Ca 0.500 0.500 0.500
O 0.000 0.000 0.000


7.
This record from Alexandria describes a geometry-optimized CaNb4O8 structure. The functional is PBE-GGA.

Summary:
Crystal system = monoclinic
Uncorrected formation energy = -30.9 eV per formula unit
SG = C2/m (12)
Offset from the most stable computed form = 169 meV/atom
Total moment = 0.0 Bohr magnetons per cell

a b c (Å): 6.034 6.034 6.762
angles (deg): 104.70 101.58 119.38
Sites, in units of the cell vectors:
O 0.696 0.043 0.202
O 0.841 0.494 0.798
O 0.165 0.008 0.172
O 0.304 0.957 0.798
O 0.159 0.506 0.202
O 0.296 0.482 0.779
O 0.704 0.518 0.221
O 0.835 0.992 0.828
Nb 0.275 0.275 0.000
Nb 0.725 0.725 0.000
Nb 0.275 0.754 0.028
Nb 0.725 0.246 0.972
Ca 0.000 0.500 0.500


8.
This record from Alexandria describes a geometry-optimized Ca2Nb2O structure. The functional is PBE-GGA.

Summary:
Crystal system = tetragonal
Uncorrected formation energy = 6.6 eV per formula unit
SG = I4/mmm (139)
Offset from the most stable computed form = 1428 meV/atom
Total moment = 0.6 Bohr magnetons per cell

a b c (Å): 3.857 3.857 8.303
angles (deg): 76.57 76.57 90.00
Each line ends with the local moment (μB).
Sites, in units of the cell vectors:
O 0.000 0.000 0.000  0.07
Ca 0.250 0.750 0.500  0.07
Ca 0.750 0.250 0.500  0.07
Nb 0.431 0.431 0.138  0.02
Nb 0.569 0.569 0.862  0.02


9.
This record from Alexandria describes a geometry-optimized Ca4Nb2O9 structure. The functional is PBE-GGA.

Summary:
Crystal system = triclinic
Uncorrected formation energy = -43.5 eV per formula unit
SG = P-1 (2)
Total moment = 0.2 Bohr magnetons per cell

a b c (Å): 8.124 9.880 11.421
angles (deg): 72.18 88.52 67.04
Sites, in units of the cell vectors:
Nb 0.500 0.000 0.500
Nb 0.852 0.325 0.674
Nb 0.660 0.659 0.335
Nb 0.837 0.314 0.174
Nb 0.500 0.000 0.000
Nb 0.163 0.686 0.826
Nb 0.148 0.675 0.326
Nb 0.340 0.341 0.665
O 0.580 0.790 0.459
O 0.246 0.434 0.791
O 0.188 0.488 0.285
O 0.726 0.014 0.442
O 0.948 0.646 0.883
O 0.812 0.512 0.715
O 0.812 0.478 0.478
O 0.274 0.986 0.558
O 0.833 0.220 0.840
O 0.283 0.549 0.999
O 0.111 0.261 0.673
O 0.768 0.912 0.998
O 0.461 0.599 0.354
O 0.754 0.566 0.209
O 0.092 0.887 0.843
O 0.529 0.869 0.191
O 0.618 0.888 0.673
O 0.908 0.113 0.157
O 0.539 0.401 0.646
O 0.382 0.112 0.327
O 0.934 0.236 0.349
O 0.052 0.354 0.117
O 0.837 0.167 0.609
O 0.188 0.522 0.522
O 0.163 0.833 0.391
O 0.488 0.830 0.946
O 0.066 0.764 0.651
O 0.408 0.648 0.776
O 0.889 0.739 0.327
O 0.167 0.780 0.160
O 0.512 0.170 0.054
O 0.471 0.131 0.809
O 0.232 0.088 0.002
O 0.420 0.210 0.541
O 0.592 0.352 0.224
O 0.717 0.451 0.001
Ca 0.664 0.669 0.834
Ca 0.231 0.010 0.231
Ca 0.769 0.990 0.769
Ca 0.544 0.372 0.899
Ca 0.628 0.311 0.432
Ca 0.695 0.011 0.245
Ca 0.000 0.000 0.500
Ca 0.456 0.628 0.101
Ca 0.305 0.989 0.755
Ca 0.116 0.314 0.436
Ca 0.000 0.000 0.000
Ca 0.372 0.689 0.568
Ca 0.036 0.366 0.913
Ca 0.884 0.686 0.564
Ca 0.964 0.634 0.087
Ca 0.336 0.331 0.166


10.
This record from Alexandria describes a geometry-optimized CaNb3O structure. The functional is PBE-GGA.

Summary:
Crystal system = cubic
Uncorrected formation energy = 13.7 eV per formula unit
SG = Pm-3m (221)
Offset from the most stable computed form = 3051 meV/atom
Total moment = 0.0 Bohr magnetons per cell

a b c (Å): 4.746 4.746 4.746
angles (deg): 90.00 90.00 90.00
Sites, in units of the cell vectors:
Nb 0.000 0.500 0.000
Nb 0.000 0.000 0.500
Nb 0.500 0.000 0.000
O 0.500 0.500 0.500
Ca 0.000 0.000 0.000


11.
This record from Alexandria describes a geometry-optimized Ca4Nb2O9 structure. The functional is PBE-GGA.

Summary:
Crystal system = triclinic
Uncorrected formation energy = -43.5 eV per formula unit
SG = P1 (1)
Total moment = 0.2 Bohr magnetons per cell

a b c (Å): 8.082 9.890 11.466
angles (deg): 72.27 88.68 67.40
Sites, in units of the cell vectors:
Ca 0.046 0.839 0.907
Ca 0.105 0.807 0.450
Ca 0.298 0.478 0.758
Ca 0.942 0.152 0.096
Ca 0.838 0.827 0.169
Ca 0.700 0.521 0.239
Ca 0.223 0.534 0.214
Ca 0.170 0.167 0.331
Ca 0.791 0.463 0.766
Ca 0.166 0.165 0.830
Ca 0.399 0.175 0.565
Ca 0.547 0.861 0.903
Ca 0.466 0.126 0.094
Ca 0.871 0.200 0.554
Ca 0.495 0.508 0.498
Ca 0.635 0.815 0.426
O 0.820 0.964 0.502
O 0.786 0.430 0.005
O 0.229 0.561 0.985
O 0.256 0.919 0.807
O 0.924 0.594 0.124
O 0.550 0.899 0.668
O 0.475 0.087 0.367
O 0.865 0.238 0.321
O 0.843 0.661 0.617
O 0.110 0.768 0.687
O 0.184 0.042 0.545
O 0.810 0.024 0.731
O 0.306 0.008 0.025
O 0.158 0.373 0.395
O 0.409 0.740 0.544
O 0.561 0.830 0.224
O 0.528 0.314 0.943
O 0.940 0.708 0.371
O 0.854 0.715 0.855
O 0.582 0.277 0.459
O 0.620 0.362 0.696
O 0.768 0.512 0.440
O 0.389 0.629 0.296
O 0.080 0.411 0.861
O 0.018 0.326 0.637
O 0.751 0.058 0.213
O 0.893 0.172 0.892
O 0.152 0.291 0.120
O 0.174 0.962 0.269
O 0.514 0.366 0.183
O 0.114 0.812 0.106
O 0.693 0.985 0.976
O 0.214 0.525 0.558
O 0.434 0.173 0.771
O 0.493 0.665 0.054
O 0.484 0.619 0.815
Nb 0.489 0.507 0.986
Nb 0.847 0.823 0.672
Nb 0.014 0.495 0.489
Nb 0.653 0.183 0.323
Nb 0.334 0.852 0.663
Nb 0.320 0.838 0.176
Nb 0.998 0.482 0.002
Nb 0.673 0.162 0.827


12.
This record from Alexandria describes a geometry-optimized Ca4Nb6O19 structure. The functional is PBE-GGA.

Summary:
Crystal system = cubic
Uncorrected formation energy = -78.2 eV per formula unit
SG = I23 (197)
Total moment = 0.0 Bohr magnetons per cell

a b c (Å): 8.109 8.109 8.109
angles (deg): 109.47 109.47 109.47
Sites, in units of the cell vectors:
Nb 0.500 0.168 0.668
Nb 0.168 0.668 0.500
Nb 0.332 0.500 0.832
Nb 0.500 0.832 0.332
Nb 0.832 0.332 0.500
Nb 0.668 0.500 0.168
Ca 0.720 0.000 0.000
Ca 0.000 0.720 0.000
Ca 0.280 0.280 0.280
Ca 0.000 0.000 0.720
O 0.645 0.256 0.958
O 0.000 0.000 0.000
O 0.000 0.362 0.362
O 0.362 0.362 0.000
O 0.314 0.611 0.355
O 0.611 0.355 0.314
O 0.355 0.314 0.611
O 0.298 0.686 0.042
O 0.638 0.638 0.000
O 0.686 0.042 0.298
O 0.000 0.638 0.638
O 0.638 0.000 0.638
O 0.362 0.000 0.362
O 0.958 0.645 0.256
O 0.389 0.702 0.744
O 0.042 0.298 0.686
O 0.256 0.958 0.645
O 0.744 0.389 0.702
O 0.702 0.744 0.389


Number 1: energy -7.547 eV/atom. Number 2: energy -7.614 eV/atom. Number 3: energy -7.411 eV/atom. Number 4: energy -8.851 eV/atom. Number 5: energy -8.377 eV/atom. Number 6: energy -7.746 eV/atom. Number 7: energy -8.682 eV/atom. Number 8: energy -4.510 eV/atom. Number 9: energy -7.753 eV/atom. Number 10: energy -4.695 eV/atom. Number 11: energy -7.753 eV/atom. Number 12: energy -8.303 eV/atom.